Record 1
# LaAgO3 PBE-GGA relaxed
# calculated density = 7.19 g/cm3
data_LaAgO3
_chemical_formula_sum 'La4 Ag4 O12'
_space_group_name_H-M_alt 'P n m a'
_space_group_IT_number 62
_cell_length_a 5.976
_cell_length_b 8.053
_cell_length_c 5.659
_cell_angle_alpha 90.00
_cell_angle_beta 90.00
_cell_angle_gamma 90.00
loop_
_space_group_symop_operation_xyz
'x,y,z'
'-x,-y,-z'
'-x+1/2,-y,z+1/2'
'x+1/2,y,-z+1/2'
'x+1/2,-y+1/2,-z+1/2'
'-x+1/2,y+1/2,z+1/2'
'-x,y+1/2,-z'
'x,-y+1/2,z'
loop_
_atom_site_label
_atom_site_fract_x
_atom_site_fract_y
_atom_site_fract_z
La1 0.068 0.250 0.019
Ag1 0.000 0.000 0.500
O1 0.041 0.750 0.386
O2 0.195 0.557 0.802

***

Record 2
# BaSmNb PBE-GGA relaxed
# relative energy among the computed polymorphs = 0.000 eV/atom
# calculated density = 5.68 g/cm3
data_BaSmNb
_chemical_formula_sum 'Ba4 Sm4 Nb4'
_space_group_name_H-M_alt 'F -4 3 m'
_space_group_IT_number 216
_space_group_name_Hall 'F -4 2 3'
_cell_length_a 7.635
_cell_length_b 7.635
_cell_length_c 7.635
_cell_angle_alpha 90.00
_cell_angle_beta 90.00
_cell_angle_gamma 90.00
loop_
_atom_site_label
_atom_site_fract_x
_atom_site_fract_y
_atom_site_fract_z
Ba1 0.000 0.000 0.000
Sm1 0.000 0.000 0.500
Nb1 0.250 0.250 0.250

***

Record 3
# Dy2CdCu2 PBE-GGA relaxed
# calculated density = 8.92 g/cm3
# ΔH_f (0 K) = -0.31 eV per atom
data_Dy2CdCu2
_chemical_formula_sum 'Dy4 Cd2 Cu4'
_space_group_name_H-M_alt 'P 4/m b m'
_space_group_IT_number 127
_space_group_name_Hall '-P 4 2ab'
_cell_length_a 7.492
_cell_length_b 7.492
_cell_length_c 3.745
_cell_angle_alpha 90.00
_cell_angle_beta 90.00
_cell_angle_gamma 90.00
loop_
_atom_site_label
_atom_site_fract_x
_atom_site_fract_y
_atom_site_fract_z
Dy1 0.174 0.326 0.000
Cd1 0.000 0.000 0.500
Cu1 0.120 0.620 0.500

***

Record 4
# RbSiAgTeS2 PBE-GGA relaxed
# calculated density = 4.30 g/cm3
data_RbSiAgTeS2
_chemical_formula_sum 'Rb4 Si4 Ag4 Te4 S8'
_space_group_name_H-M_alt 'C m c m'
_space_group_IT_number 63
_space_group_name_Hall '-C 2c 2'
_cell_length_a 3.474
_cell_length_b 16.856
_cell_length_c 10.903
_cell_angle_alpha 90.00
_cell_angle_beta 90.00
_cell_angle_gamma 90.00
loop_
_atom_site_label
_atom_site_fract_x
_atom_site_fract_y
_atom_site_fract_z
Rb1 0.000 0.240 0.250
Si1 0.000 0.500 0.000
Ag1 0.000 0.086 0.750
Te1 0.000 0.444 0.750
S1 0.000 0.098 0.529

***

Raw total energy (computed, eV/atom): -6.227; -4.448; -3.819; -3.751